Entry 1:
DFT (PBE-GGA) results for a geometry-optimized ErGeAu structure. Values from VASP.

Output
- E_form: -1.465 eV/f.u.
- Total magnetization: 0.00 μB per cell
- Space group: No. 107

Cell and atoms, written as Quantum ESPRESSO input:
```
&SYSTEM
  ibrav = 0, nat = 3, ntyp = 3
/
ATOMIC_SPECIES
Er 167.26 Er.upf
Ge 72.64 Ge.upf
Au 196.97 Au.upf
ATOMIC_POSITIONS crystal
Er 0.000 0.000 0.000
Ge 0.684 0.684 0.000
Au 0.335 0.335 0.000
CELL_PARAMETERS angstrom
-1.753 1.753 5.183
1.753 -1.753 5.183
1.753 1.753 -5.183
```

---

Entry 2:
DFT (PBE-GGA) results for a geometry-optimized Tl6SnAu4 structure. Values from VASP.

Output
- E_form: -0.387 eV/f.u.
- Total magnetization: 0.00 μB per cell
- Space group: No. 186

Cell and atoms, written as Quantum ESPRESSO input:
```
&SYSTEM
  ibrav = 0, nat = 22, ntyp = 3
/
ATOMIC_SPECIES
Tl 204.38 Tl.upf
Sn 118.71 Sn.upf
Au 196.97 Au.upf
ATOMIC_POSITIONS crystal
Tl 0.057 0.528 0.000
Tl 0.133 0.266 0.329
Tl 0.133 0.867 0.329
Tl 0.266 0.133 0.829
Tl 0.472 0.528 0.000
Tl 0.472 0.943 0.000
Tl 0.528 0.057 0.500
Tl 0.528 0.472 0.500
Tl 0.734 0.867 0.329
Tl 0.867 0.133 0.829
Tl 0.867 0.734 0.829
Tl 0.943 0.472 0.500
Sn 0.333 0.667 0.615
Sn 0.667 0.333 0.115
Au 0.182 0.364 0.738
Au 0.182 0.818 0.738
Au 0.333 0.667 0.236
Au 0.364 0.182 0.238
Au 0.636 0.818 0.738
Au 0.667 0.333 0.736
Au 0.818 0.182 0.238
Au 0.818 0.636 0.238
CELL_PARAMETERS angstrom
10.048 0.000 0.000
-5.024 8.702 0.000
0.000 0.000 7.058
```

---

Entry 3:
DFT (PBE-GGA) results for a geometry-optimized KNa2Pa structure. Values from VASP.

Output
- E_form: 2.218 eV/f.u.
- Total magnetization: 0.45 μB per cell
- Space group: No. 166

Cell and atoms, written as Quantum ESPRESSO input:
```
&SYSTEM
  ibrav = 0, nat = 4, ntyp = 3
/
ATOMIC_SPECIES
K 39.10 K.upf
Na 22.99 Na.upf
Pa 231.04 Pa.upf
ATOMIC_POSITIONS crystal
K 0.000 0.000 0.000
Na 0.420 0.420 0.420
Na 0.580 0.580 0.580
Pa 0.500 0.500 0.500
CELL_PARAMETERS angstrom
1.656 0.956 14.250
-1.656 0.956 14.250
0.000 -1.912 14.250
```